Entry 1:
The following is a PBE calculation of crystalline Te4PPt at its relaxed geometry, from Alexandria via LeMat-Bulk.

Unit cell a=8.637 b=8.637 c=8.637 alpha=90.00 beta=90.00 gamma=90.00
Space group F-43m (No. 216)
Symmetry-distinct sites (fractional):
Te (0.125, 0.125, 0.125) (multiplicity 16)
P (0.250, 0.250, 0.750) (multiplicity 4)
Pt (0.000, 0.000, 0.500) (multiplicity 4)

Energy relative to the elements, uncorrected, eV/atom: 1.124
DOS(E_F), states/eV/atom: 1.328
VASP energy, hartree per atom: -0.10579

---

Entry 2:
The following is a PBE calculation of crystalline TeP3Pt at its relaxed geometry, from Alexandria via LeMat-Bulk.

Unit cell a=4.732 b=4.732 c=4.732 alpha=90.00 beta=90.00 gamma=90.00
Space group Pm-3m (No. 221)
Symmetry-distinct sites (fractional):
Te (0.000, 0.000, 0.000) (multiplicity 1)
P (0.000, 0.500, 0.500) (multiplicity 3)
Pt (0.500, 0.500, 0.500) (multiplicity 1)

Energy relative to the elements, uncorrected, eV/atom: 0.697
DOS(E_F), states/eV/atom: 1.158
Relative energy among the computed polymorphs, meV per atom: 0
VASP energy, hartree per atom: -0.16117

---

Entry 3:
The following is a PBE calculation of crystalline Te2PPt at its relaxed geometry, from Alexandria via LeMat-Bulk.

Unit cell a=3.897 b=5.496 c=8.262 alpha=90.00 beta=90.00 gamma=90.00
Space group Amm2 (No. 38)
Symmetry-distinct sites (fractional):
Te (0.000, 0.000, 0.000) (multiplicity 2)
Te (0.500, 0.000, 0.302) (multiplicity 2)
P (0.500, 0.000, 0.715) (multiplicity 2)
Pt (0.000, 0.000, 0.533) (multiplicity 2)

Energy relative to the elements, uncorrected, eV/atom: -0.109
DOS(E_F), states/eV/atom: 0.659
VASP energy, hartree per atom: -0.16695

---

Entry 4:
The following is a PBE calculation of crystalline Te2PPt at its relaxed geometry, from Alexandria via LeMat-Bulk.

Unit cell a=3.8293 b=3.8293 c=25.0544 alpha=90.00 beta=90.00 gamma=120.00
Space group R-3m (No. 166, hexagonal axes)
Symmetry-distinct sites (fractional):
Te (0.0000, 0.0000, 0.1006) (multiplicity 6)
P (0.0000, 0.0000, 0.5000) (multiplicity 3)
Pt (0.0000, 0.0000, 0.0000) (multiplicity 3)

Energy relative to the elements, uncorrected, eV/atom: 0.452
DOS(E_F), states/eV/atom: 1.479
VASP energy, hartree per atom: -0.14631

---

Entry 5:
The following is a PBE calculation of crystalline Te2PPt at its relaxed geometry, from Alexandria via LeMat-Bulk.

Unit cell a=5.542 b=5.542 c=5.768 alpha=90.00 beta=90.00 gamma=90.00
Space group I4/mmm (No. 139)
Symmetry-distinct sites (fractional):
Te (0.000, 0.500, 0.000) (multiplicity 4)
P (0.000, 0.000, 0.000) (multiplicity 2)
Pt (0.000, 0.000, 0.500) (multiplicity 2)

Energy relative to the elements, uncorrected, eV/atom: 0.080
DOS(E_F), states/eV/atom: 0.492
VASP energy, hartree per atom: -0.15999

---

Entry 6:
The following is a PBE calculation of crystalline TeP4Pt at its relaxed geometry, from Alexandria via LeMat-Bulk.

Unit cell a=7.736 b=7.736 c=7.736 alpha=90.00 beta=90.00 gamma=90.00
Space group F-43m (No. 216)
Symmetry-distinct sites (fractional):
Te (0.000, 0.000, 0.000) (multiplicity 4)
P (0.104, 0.104, 0.604) (multiplicity 16)
Pt (0.250, 0.250, 0.250) (multiplicity 4)

Energy relative to the elements, uncorrected, eV/atom: 0.764
DOS(E_F), states/eV/atom: 0.821
VASP energy, hartree per atom: -0.16072

---

Entry 7:
The following is a PBE calculation of crystalline Te2PPt at its relaxed geometry, from Alexandria via LeMat-Bulk.

Unit cell a=3.225 b=3.225 c=9.546 alpha=90.00 beta=90.00 gamma=90.00
Space group P4mm (No. 99)
Symmetry-distinct sites (fractional):
Te (0.000, 0.000, 0.000) (multiplicity 1)
Te (0.500, 0.500, 0.357) (multiplicity 1)
P (0.000, 0.000, 0.729) (multiplicity 1)
Pt (0.500, 0.500, 0.650) (multiplicity 1)

Energy relative to the elements, uncorrected, eV/atom: -0.063
DOS(E_F), states/eV/atom: 0.525
VASP energy, hartree per atom: -0.16524

---

Entry 8:
The following is a PBE calculation of crystalline Te3PPt at its relaxed geometry, from Alexandria via LeMat-Bulk.

Unit cell a=5.118 b=5.118 c=5.118 alpha=90.00 beta=90.00 gamma=90.00
Space group Pm-3m (No. 221)
Symmetry-distinct sites (fractional):
Te (0.000, 0.000, 0.500) (multiplicity 3)
P (0.000, 0.000, 0.000) (multiplicity 1)
Pt (0.500, 0.500, 0.500) (multiplicity 1)

Energy relative to the elements, uncorrected, eV/atom: 0.913
DOS(E_F), states/eV/atom: 1.284
Relative energy among the computed polymorphs, meV per atom: 150
VASP energy, hartree per atom: -0.11990

---

Entry 9:
The following is a PBE calculation of crystalline Te2PPt at its relaxed geometry, from Alexandria via LeMat-Bulk.

Unit cell a=3.771 b=3.771 c=16.475 alpha=90.00 beta=90.00 gamma=90.00
Space group I-4m2 (No. 119)
Symmetry-distinct sites (fractional):
Te (0.000, 0.000, 0.000) (multiplicity 2)
Te (0.000, 0.500, 0.250) (multiplicity 2)
P (0.000, 0.500, 0.750) (multiplicity 2)
Pt (0.000, 0.000, 0.500) (multiplicity 2)

Energy relative to the elements, uncorrected, eV/atom: 0.427
DOS(E_F), states/eV/atom: 0.831
VASP energy, hartree per atom: -0.14723

---

Entry 10:
The following is a PBE calculation of crystalline Te2PPt at its relaxed geometry, from Alexandria via LeMat-Bulk.

Unit cell a=6.113 b=6.113 c=12.516 alpha=90.00 beta=90.00 gamma=90.00
Space group I-42d (No. 122)
Symmetry-distinct sites (fractional):
Te (0.232, 0.250, 0.125) (multiplicity 8)
P (0.000, 0.000, 0.500) (multiplicity 4)
Pt (0.000, 0.000, 0.000) (multiplicity 4)

Energy relative to the elements, uncorrected, eV/atom: 0.182
DOS(E_F), states/eV/atom: 0.676
VASP energy, hartree per atom: -0.15624

---

Entry 11:
The following is a PBE calculation of crystalline Te2PPt at its relaxed geometry, from Alexandria via LeMat-Bulk.

Unit cell a=3.020 b=3.020 c=12.181 alpha=90.00 beta=90.00 gamma=90.00
Space group P4mm (No. 99)
Symmetry-distinct sites (fractional):
Te (0.000, 0.000, 0.000) (multiplicity 1)
Te (0.500, 0.500, 0.343) (multiplicity 1)
P (0.000, 0.000, 0.632) (multiplicity 1)
Pt (0.500, 0.500, 0.725) (multiplicity 1)

Energy relative to the elements, uncorrected, eV/atom: 0.111
DOS(E_F), states/eV/atom: 0.400
VASP energy, hartree per atom: -0.15886

---

Entry 12:
The following is a PBE calculation of crystalline Te2PPt at its relaxed geometry, from Alexandria via LeMat-Bulk.

Unit cell a=11.704 b=3.686 c=5.021 alpha=90.00 beta=104.70 gamma=90.00
Space group Cm (No. 8)
Symmetry-distinct sites (fractional):
Te (0.000, 0.000, 0.000) (multiplicity 2)
Te (0.180, 0.000, 0.627) (multiplicity 2)
P (0.373, 0.500, 0.489) (multiplicity 2)
Pt (0.002, 0.500, 0.449) (multiplicity 2)

Energy relative to the elements, uncorrected, eV/atom: 0.064
DOS(E_F), states/eV/atom: 0.323
VASP energy, hartree per atom: -0.16058

---

Listing calculated density for the structures above in their given order: 7.59, 6.51, 9.03, 7.54, 9.02, 6.41, 8.05, 7.54, 6.82, 6.84, 7.19, 7.63 Mg/m³.
Listing volume for the structures above in their given order: 26.85, 21.20, 22.12, 26.51, 22.15, 19.29, 24.82, 26.81, 29.28, 29.23, 27.77, 26.19 Å³ per atom.
Listing spin magnetization for the structures above in their given order: 0.033, 0.000, 0.000, 0.000, 0.000, 0.000, 0.000, 0.000, 0.000, 0.000, 0.000, 0.000 Bohr magnetons per cell.